[1]
Compound: KFeAu2
Source: Alexandria via LeMat-Bulk
Functional: GGA-PBE
Structure: relaxed

Calculated values
VASP energy: -3.823 eV/atom
Crystal system: monoclinic
Energy of formation from the pure elements: 0.21 eV/atom
Space-group type: No. 12

Cell lengths 8.4608, 2.8466, 7.5300 Å; angles 90.00, 95.36, 90.00 degrees
Closest atoms and distances in Å follow each position.
Fractional positions:
K1 0.0000 0.0000 0.0000  2 K 2.85
K2 0.5000 0.5000 0.0000  2 K 2.85
Fe1 0.0000 0.5000 0.5000  6 Au 2.69-2.70, 2 Fe 2.85
Fe2 0.5000 0.0000 0.5000  6 Au 2.69-2.70, 2 Fe 2.85
Au1 0.2367 0.0000 0.6753  3 Fe 2.69-2.70, 2 Au 2.85
Au2 0.2633 0.5000 0.3247  3 Fe 2.69-2.70, 2 Au 2.85
Au3 0.7367 0.5000 0.6753  3 Fe 2.69-2.70, 2 Au 2.85
Au4 0.7633 0.0000 0.3247  3 Fe 2.69-2.70, 2 Au 2.85

***

[2]
Compound: K2FeAu
Source: Alexandria via LeMat-Bulk
Functional: GGA-PBE
Structure: relaxed

Calculated values
VASP energy: -2.770 eV/atom
Crystal system: trigonal
Energy of formation from the pure elements: 0.71 eV/atom
Space-group type: No. 166
Polymorph energy (0 for the lowest one): 0.434 eV per atom

Cell lengths 4.1665, 4.1665, 29.0375 Å; angles 90.00, 90.00, 120.00 degrees
Closest atoms and distances in Å follow each position.
Fractional positions:
K1 0.0000 0.0000 0.2432  3 Au 3.27, 3 Fe 3.56
K2 0.0000 0.0000 0.7568  3 Au 3.27, 3 Fe 3.56
K3 0.3333 0.6667 0.4235  3 Au 3.27, 3 Fe 3.56
K4 0.3333 0.6667 0.9099  3 Au 3.27, 3 Fe 3.56
K5 0.6667 0.3333 0.0901  3 Au 3.27, 3 Fe 3.56
K6 0.6667 0.3333 0.5765  3 Au 3.27, 3 Fe 3.56
Fe1 0.0000 0.0000 0.0000  6 K 3.56
Fe2 0.3333 0.6667 0.6667  6 K 3.56
Fe3 0.6667 0.3333 0.3333  6 K 3.56
Au1 0.0000 0.0000 0.5000  6 K 3.27
Au2 0.3333 0.6667 0.1667  6 K 3.27
Au3 0.6667 0.3333 0.8333  6 K 3.27

***

[3]
Compound: KFeAu2
Source: Alexandria via LeMat-Bulk
Functional: GGA-PBE
Structure: relaxed

Calculated values
VASP energy: -3.454 eV/atom
Crystal system: cubic
Energy of formation from the pure elements: 0.58 eV/atom
Space-group type: No. 216

Cell lengths 6.9260, 6.9260, 6.9260 Å; angles 90.00, 90.00, 90.00 degrees
Closest atoms and distances in Å follow each position.
Fractional positions:
K1 0.0000 0.0000 0.0000  4 Fe 3.00, 4 Au 3.00
K2 0.0000 0.5000 0.5000  4 Fe 3.00, 4 Au 3.00
K3 0.5000 0.0000 0.5000  4 Fe 3.00, 4 Au 3.00
K4 0.5000 0.5000 0.0000  4 Fe 3.00, 4 Au 3.00
Fe1 0.2500 0.2500 0.7500  4 K 3.00, 4 Au 3.00
Fe2 0.2500 0.7500 0.2500  4 K 3.00, 4 Au 3.00
Fe3 0.7500 0.2500 0.2500  4 K 3.00, 4 Au 3.00
Fe4 0.7500 0.7500 0.7500  4 K 3.00, 4 Au 3.00
Au1 0.0000 0.0000 0.5000  4 Au 3.00, 4 Fe 3.00
Au2 0.0000 0.5000 0.0000  4 Au 3.00, 4 Fe 3.00
Au3 0.2500 0.2500 0.2500  4 K 3.00, 4 Au 3.00
Au4 0.2500 0.7500 0.7500  4 K 3.00, 4 Au 3.00
Au5 0.5000 0.0000 0.0000  4 Au 3.00, 4 Fe 3.00
Au6 0.5000 0.5000 0.5000  4 Au 3.00, 4 Fe 3.00
Au7 0.7500 0.2500 0.7500  4 K 3.00, 4 Au 3.00
Au8 0.7500 0.7500 0.2500  4 K 3.00, 4 Au 3.00

***

[4]
Compound: K2FeAu
Source: Alexandria via LeMat-Bulk
Functional: GGA-PBE
Structure: relaxed

Calculated values
VASP energy: -3.078 eV/atom
Crystal system: monoclinic
Energy of formation from the pure elements: 0.41 eV/atom
Space-group type: No. 6
Polymorph energy (0 for the lowest one): 0.126 eV per atom

Cell lengths 5.0959, 4.5705, 6.5038 Å; angles 90.00, 113.05, 90.00 degrees
Closest atoms and distances in Å follow each position.
Fractional positions:
K1 0.0000 0.0000 0.0000  3 Au 3.47-3.62, 4 Fe 3.65
K2 0.2918 0.5000 0.5843  3 Fe 3.39-3.75, 4 Au 3.60-3.61
Fe1 0.6060 0.5000 0.2107  2 Au 2.54
Au1 0.6965 0.0000 0.3952  2 Fe 2.54

***

[5]
Compound: K2FeAu
Source: Alexandria via LeMat-Bulk
Functional: GGA-PBE
Structure: relaxed

Calculated values
VASP energy: -2.899 eV/atom
Crystal system: cubic
Energy of formation from the pure elements: 0.59 eV/atom
Space-group type: No. 216
Polymorph energy (0 for the lowest one): 0.306 eV per atom

Cell lengths 7.5755, 7.5755, 7.5755 Å; angles 90.00, 90.00, 90.00 degrees
Closest atoms and distances in Å follow each position.
Fractional positions:
K1 0.0000 0.0000 0.0000  4 Fe 3.28, 4 K 3.28
K2 0.0000 0.5000 0.5000  4 Fe 3.28, 4 K 3.28
K3 0.2500 0.2500 0.2500  4 Au 3.28, 4 K 3.28
K4 0.2500 0.7500 0.7500  4 K 3.28, 4 Au 3.28
K5 0.5000 0.0000 0.5000  4 Fe 3.28, 4 K 3.28
K6 0.5000 0.5000 0.0000  4 Fe 3.28, 4 K 3.28
K7 0.7500 0.2500 0.7500  4 K 3.28, 4 Au 3.28
K8 0.7500 0.7500 0.2500  4 K 3.28, 4 Au 3.28
Fe1 0.2500 0.2500 0.7500  4 K 3.28, 4 Au 3.28
Fe2 0.2500 0.7500 0.2500  4 K 3.28, 4 Au 3.28
Fe3 0.7500 0.2500 0.2500  4 K 3.28, 4 Au 3.28
Fe4 0.7500 0.7500 0.7500  4 K 3.28, 4 Au 3.28
Au1 0.0000 0.0000 0.5000  4 Fe 3.28, 4 K 3.28
Au2 0.0000 0.5000 0.0000  4 Fe 3.28, 4 K 3.28
Au3 0.5000 0.0000 0.0000  4 Fe 3.28, 4 K 3.28
Au4 0.5000 0.5000 0.5000  4 Fe 3.28, 4 K 3.28

***

[6]
Compound: KFe2Au2
Source: Alexandria via LeMat-Bulk
Functional: GGA-PBE
Structure: relaxed

Calculated values
VASP energy: -4.649 eV/atom
Crystal system: tetragonal
Energy of formation from the pure elements: 0.27 eV/atom
Space-group type: No. 127
Polymorph energy (0 for the lowest one): 0.000 eV per atom

Cell lengths 8.3083, 8.3083, 2.7180 Å; angles 90.00, 90.00, 90.00 degrees
Closest atoms and distances in Å follow each position.
Fractional positions:
K1 0.0000 0.0000 0.0000  2 K 2.72, 4 Au 3.04
K2 0.5000 0.5000 0.0000  2 K 2.72, 4 Au 3.04
Fe1 0.1038 0.3962 0.5000  3 Fe 2.44-2.72
Fe2 0.3962 0.8962 0.5000  3 Fe 2.44-2.72
Fe3 0.6038 0.1038 0.5000  3 Fe 2.44-2.72
Fe4 0.8962 0.6038 0.5000  3 Fe 2.44-2.72
Au1 0.1832 0.6832 0.0000  2 Au 2.72, 6 Fe 2.82-2.85, 2 K 3.04
Au2 0.3168 0.1832 0.0000  2 Au 2.72, 6 Fe 2.82-2.85, 2 K 3.04
Au3 0.6832 0.8168 0.0000  2 Au 2.72, 6 Fe 2.82-2.85, 2 K 3.04
Au4 0.8168 0.3168 0.0000  2 Au 2.72, 6 Fe 2.82-2.85, 2 K 3.04

***

[7]
Compound: K2FeAu
Source: Alexandria via LeMat-Bulk
Functional: GGA-PBE
Structure: relaxed

Calculated values
VASP energy: -2.882 eV/atom
Crystal system: tetragonal
Energy of formation from the pure elements: 0.60 eV/atom
Space-group type: No. 123
Polymorph energy (0 for the lowest one): 0.322 eV per atom

Cell lengths 3.8502, 3.8502, 8.6838 Å; angles 90.00, 90.00, 90.00 degrees
Closest atoms and distances in Å follow each position.
Fractional positions:
K1 0.0000 0.0000 0.2297  4 Au 3.38, 4 Fe 3.59
K2 0.0000 0.0000 0.7703  4 Au 3.38, 4 Fe 3.59
Fe1 0.5000 0.5000 0.5000  8 K 3.59, 4 Fe 3.85
Au1 0.5000 0.5000 0.0000  8 K 3.38

***

[8]
Compound: KFeAu2
Source: Alexandria via LeMat-Bulk
Functional: GGA-PBE
Structure: relaxed

Calculated values
VASP energy: -3.747 eV/atom
Crystal system: orthorhombic
Energy of formation from the pure elements: 0.28 eV/atom
Space-group type: No. 25

Cell lengths 2.7745, 4.5434, 7.4853 Å; angles 90.00, 90.00, 90.00 degrees
Closest atoms and distances in Å follow each position.
Fractional positions:
K1 0.0000 0.0000 0.0000  2 K 2.77
Fe1 0.5000 0.5000 0.6115  5 Au 2.58-2.68, 2 Fe 2.77
Au1 0.0000 0.0000 0.5755  4 Fe 2.68, 2 Au 2.77
Au2 0.5000 0.5000 0.2670  1 Fe 2.58, 2 Au 2.77

***

[9]
Compound: K2FeAu
Source: Alexandria via LeMat-Bulk
Functional: GGA-PBE
Structure: relaxed

Calculated values
VASP energy: -2.986 eV/atom
Crystal system: tetragonal
Energy of formation from the pure elements: 0.50 eV/atom
Space-group type: No. 122
Polymorph energy (0 for the lowest one): 0.218 eV per atom

Cell lengths 12.0765, 12.0765, 4.9808 Å; angles 90.00, 90.00, 90.00 degrees
Closest atoms and distances in Å follow each position.
Fractional positions:
K1 0.0805 0.7500 0.1250  2 Au 3.23
K2 0.2500 0.0805 0.8750  2 Au 3.23
K3 0.2500 0.4195 0.3750  2 Au 3.23
K4 0.4195 0.7500 0.6250  2 Au 3.23
K5 0.5805 0.2500 0.6250  2 Au 3.23
K6 0.7500 0.5805 0.3750  2 Au 3.23
K7 0.7500 0.9195 0.8750  2 Au 3.23
K8 0.9195 0.2500 0.1250  2 Au 3.23
Fe1 0.0000 0.0000 0.5000  2 Au 2.49
Fe2 0.0000 0.5000 0.7500  2 Au 2.49
Fe3 0.5000 0.0000 0.2500  2 Au 2.49
Fe4 0.5000 0.5000 0.0000  2 Au 2.49
Au1 0.0000 0.0000 0.0000  2 Fe 2.49
Au2 0.0000 0.5000 0.2500  2 Fe 2.49
Au3 0.5000 0.0000 0.7500  2 Fe 2.49
Au4 0.5000 0.5000 0.5000  2 Fe 2.49

***

[10]
Compound: KFeAu2
Source: Alexandria via LeMat-Bulk
Functional: GGA-PBE
Structure: relaxed

Calculated values
VASP energy: -3.525 eV/atom
Crystal system: tetragonal
Energy of formation from the pure elements: 0.50 eV/atom
Space-group type: No. 119

Cell lengths 4.1963, 4.1963, 9.3501 Å; angles 90.00, 90.00, 90.00 degrees
Closest atoms and distances in Å follow each position.
Fractional positions:
K1 0.0000 0.0000 0.0000  8 Au 2.97-3.14, 4 Fe 3.14
K2 0.5000 0.5000 0.5000  8 Au 2.97-3.14, 4 Fe 3.14
Fe1 0.0000 0.5000 0.2500  8 Au 2.97-3.14, 4 K 3.14
Fe2 0.5000 0.0000 0.7500  8 Au 2.97-3.14, 4 K 3.14
Au1 0.0000 0.0000 0.5000  4 K 2.97, 4 Fe 3.14, 4 Au 3.14
Au2 0.0000 0.5000 0.7500  4 Fe 2.97, 4 K 3.14, 4 Au 3.14
Au3 0.5000 0.0000 0.2500  4 Fe 2.97, 4 K 3.14, 4 Au 3.14
Au4 0.5000 0.5000 0.0000  4 K 2.97, 4 Fe 3.14, 4 Au 3.14